(1)
MgH2Ir5 | the Alexandria database | PBE | relaxed; ρ = 17.02 g/cm³; M_tot = 0.00 μB per formula unit; density of states at the Fermi level = 5.97 states/eV/f.u.
1.0
2.4130 -4.3802 0.0000
2.4130 4.3802 0.0000
-1.7018 0.0000 4.5583
Mg H Ir
1 2 5
Direct
0.0000 0.0000 0.0000
0.5406 0.5406 0.8646
0.8848 0.8848 0.5520
0.1894 0.8212 0.4887
0.3061 0.6758 0.9933
0.4825 0.4825 0.4740
0.6758 0.3061 0.9933
0.8212 0.1894 0.4887

(2)
MgH2Ir5 | the Alexandria database | PBE | relaxed; ρ = 17.10 g/cm³; M_tot = 0.00 μB per formula unit; density of states at the Fermi level = 5.16 states/eV/f.u.
1.0
2.4205 -4.2566 0.0000
2.4205 4.2566 0.0000
-1.6201 0.0000 4.6522
Mg H Ir
1 2 5
Direct
0.0000 0.0000 0.0000
0.3250 0.9558 0.8528
0.9558 0.3250 0.8528
0.1746 0.8436 0.4786
0.3685 0.6780 0.0299
0.5103 0.5103 0.5014
0.6780 0.3685 0.0299
0.8436 0.1746 0.4786

Of them, (2) has the lowest stability.

(1)
Mg4H3Ir2 | the Alexandria database | PBE | relaxed; ρ = 6.87 g/cm³; M_tot = 0.00 μB per formula unit; density of states at the Fermi level = 2.34 states/eV/f.u.
1.0
4.7341 -2.1279 0.0000
4.7341 2.1279 0.0000
-0.0907 0.0000 5.8164
Mg H Ir
4 3 2
Direct
0.0000 0.0000 0.0000
0.0007 0.0007 0.4998
0.2884 0.2884 0.7792
0.7116 0.7116 0.2215
0.2579 0.2579 0.3580
0.4994 0.4994 0.5011
0.7426 0.7426 0.6439
0.4123 0.4123 0.2219
0.5880 0.5880 0.7791

(2)
Mg4H3Ir2 | the Alexandria database | PBE | relaxed; ρ = 6.35 g/cm³; M_tot = 0.00 μB per formula unit; density of states at the Fermi level = 1.77 states/eV/f.u.
1.0
4.3152 0.0000 0.0000
2.1401 4.7018 0.0000
2.1538 1.2446 6.2457
Mg H Ir
4 3 2
Direct
0.0000 0.0000 0.0000
0.1951 0.1064 0.5025
0.6030 0.4855 0.3082
0.8008 0.6110 0.7877
0.0527 0.6398 0.2534
0.4629 0.0582 0.0198
0.7309 0.0071 0.5298
0.2556 0.4058 0.0820
0.5358 0.2022 0.7262

Of them, (2) has the lowest stability.

(1)
Mg4H3Ir2 | the Alexandria database | PBE | relaxed; ρ = 6.66 g/cm³; M_tot = 0.00 μB per formula unit; density of states at the Fermi level = 2.64 states/eV/f.u.
1.0
4.5108 0.0000 0.0000
2.2071 3.9427 0.0000
2.2303 1.3188 6.7929
Mg H Ir
4 3 2
Direct
0.0000 0.0000 0.0000
0.1362 0.1344 0.5491
0.5589 0.5578 0.2810
0.7304 0.7280 0.8034
0.0543 0.5356 0.2834
0.5343 0.0537 0.2841
0.6065 0.6046 0.5334
0.2965 0.2970 0.1115
0.4182 0.4151 0.7333

(2)
Mg4H3Ir2 | the Alexandria database | PBE | relaxed; ρ = 6.56 g/cm³; M_tot = 0.00 μB per formula unit; density of states at the Fermi level = 2.00 states/eV/f.u.
1.0
3.9494 -2.3443 0.0000
3.9494 2.3443 0.0000
-3.3243 0.0000 6.6238
Mg H Ir
4 3 2
Direct
0.1556 0.1556 0.3702
0.2462 0.3115 0.8728
0.6885 0.7538 0.1272
0.8444 0.8444 0.6298
0.2612 0.7388 0.5000
0.6672 0.2503 0.1162
0.7497 0.3328 0.8838
0.4734 0.4642 0.3015
0.5358 0.5266 0.6985

Of them, (2) has the lowest stability.

(1)
MgHIr2Pd | the Alexandria database | PBE | relaxed; ρ = 13.59 g/cm³; M_tot = 0.00 μB per formula unit; density of states at the Fermi level = 4.03 states/eV/f.u.
1.0
3.9396 0.0000 0.0000
0.0000 3.9396 0.0000
0.0000 0.0000 4.0638
Mg H Ir Pd
1 1 2 1
Direct
0.0000 0.0000 0.0000
0.5000 0.5000 0.5000
0.0000 0.5000 0.5000
0.5000 0.0000 0.5000
0.5000 0.5000 0.0000

(2)
MgHIr2Pd | the Alexandria database | PBE | relaxed; ρ = 13.68 g/cm³; M_tot = 0.00 μB per formula unit; density of states at the Fermi level = 3.69 states/eV/f.u.
1.0
3.8935 0.0000 0.0000
0.0000 3.8935 0.0000
0.0000 0.0000 4.1326
Mg H Ir Pd
1 1 2 1
Direct
0.0000 0.0000 0.0000
0.0000 0.0000 0.5000
0.0000 0.5000 0.5000
0.5000 0.0000 0.5000
0.5000 0.5000 0.0000

Of them, (1) has the lowest stability.

(1)
Y2MgHIr | the Alexandria database | PBE | relaxed; ρ = 7.24 g/cm³; M_tot = 0.00 μB per formula unit; density of states at the Fermi level = 1.70 states/eV/f.u.
1.0
4.7795 0.0000 0.0000
0.0000 4.7795 0.0000
0.0000 0.0000 3.9721
Y Mg H Ir
2 1 1 1
Direct
0.0000 0.5000 0.0000
0.5000 0.0000 0.0000
0.0000 0.0000 0.5000
0.0000 0.0000 0.0000
0.5000 0.5000 0.5000

(2)
Y2MgHIr | the Alexandria database | PBE | relaxed; ρ = 6.99 g/cm³; M_tot = 0.00 μB per formula unit; density of states at the Fermi level = 4.66 states/eV/f.u.
1.0
5.0689 0.0000 0.0000
0.0000 5.0689 0.0000
0.0000 0.0000 3.6578
Y Mg H Ir
2 1 1 1
Direct
0.0000 0.5000 0.0000
0.5000 0.0000 0.0000
0.0000 0.0000 0.5000
0.5000 0.5000 0.0000
0.5000 0.5000 0.5000

Of them, (1) has the lowest stability.

(1)
Mg2ZnHIr | the Alexandria database | PBE | relaxed; ρ = 7.47 g/cm³; M_tot = 0.00 μB per formula unit; density of states at the Fermi level = 2.14 states/eV/f.u.
1.0
4.3738 0.0000 0.0000
0.0000 4.3738 0.0000
0.0000 0.0000 3.5724
Mg Zn H Ir
2 1 1 1
Direct
0.0000 0.5000 0.0000
0.5000 0.0000 0.0000
0.0000 0.0000 0.5000
0.5000 0.5000 0.0000
0.5000 0.5000 0.5000

(2)
Mg2ZnHIr | the Alexandria database | PBE | relaxed; ρ = 7.79 g/cm³; M_tot = 0.00 μB per formula unit; density of states at the Fermi level = 1.23 states/eV/f.u.
1.0
4.1274 0.0000 0.0000
0.0000 4.1274 0.0000
0.0000 0.0000 3.8430
Mg Zn H Ir
2 1 1 1
Direct
0.0000 0.5000 0.0000
0.5000 0.0000 0.0000
0.0000 0.0000 0.5000
0.0000 0.0000 0.0000
0.5000 0.5000 0.5000

Of them, (2) has the lowest stability.